(1)
TiPRhCl2: optimized geometry, PBE.

Geometry as POSCAR:
```
TiPRhCl2
1.0
4.538 0.000 0.000
0.000 5.178 0.000
0.000 0.000 4.538
Cl Ti P Rh
2 1 1 1
direct
0.500 0.000 0.000
0.000 0.000 0.500
0.000 0.500 0.000
0.500 0.500 0.500
0.000 0.000 0.000
```

ΔE to the lowest computed polymorph = 0.3198 eV/atom
volume = 106.6 Å³/cell
symmetry = No. 123
crystal system = tetragonal
E_form (uncorrected) = 0.426 eV/atom

(2)
TiPRhCl2: optimized geometry, PBE.

Geometry as POSCAR:
```
TiPRhCl2
1.0
-4.143 -2.153 -0.001
0.567 -1.092 4.504
-2.108 4.055 1.249
Rh P Ti Cl
1 1 1 2
direct
0.000 0.000 0.000
0.000 0.000 0.500
0.500 0.500 0.500
0.000 0.500 0.000
0.500 0.000 0.000
```

ΔE to the lowest computed polymorph = 0.2173 eV/atom
volume = 103.3 Å³/cell
symmetry = No. 123
crystal system = tetragonal
E_form (uncorrected) = 0.324 eV/atom